[1]
Density functional theory data (meta-GGA SCAN) for Cu2Ir at its PBEsol-relaxed geometry.

extended XYZ file:
```
6
Lattice="-0.330 2.518 -0.708 -3.108 -1.171 -2.718 -4.331 -0.495 5.166" Properties=species:S:1:pos:R:3 pbc="T T T"
Cu -4.347 0.314 3.141
Cu -3.423 0.538 -1.401
Cu -6.499 1.061 1.892
Cu -1.270 -0.209 -0.152
Ir -2.961 1.309 1.127
Ir -4.809 -0.458 0.613
```

Results
E above lowest polymorph: 0.0252 eV/atom
ΔE_f: 0.064 eV/atom

---

[2]
Density functional theory data (meta-GGA SCAN) for NaPr2S2O8F3 at its PBEsol-relaxed geometry.

extended XYZ file:
```
32
Lattice="-4.837 -3.136 -3.781 2.335 -7.247 3.023 -3.124 5.275 5.907" Properties=species:S:1:pos:R:3 pbc="T T T"
Na -1.260 -7.387 -0.086
Na -1.242 -2.995 -0.672
Pr -6.103 1.262 1.627
Pr 0.194 -2.172 2.703
Pr -5.821 -2.935 2.447
Pr 0.476 -6.369 3.523
S -3.179 -0.338 3.272
S -2.448 -4.770 1.878
S -4.443 -1.683 -0.281
S -1.184 -3.425 5.430
O -4.501 -3.110 0.158
O -1.505 -3.654 1.657
O -4.970 -1.521 -1.651
O -5.295 -0.973 0.707
O -2.759 -5.405 0.582
O -1.126 -1.997 4.992
O -3.752 0.681 2.340
O -2.868 0.297 4.568
O -0.657 -3.587 6.800
O -3.674 -4.303 2.574
O -2.582 -3.897 5.391
O -1.953 -0.805 2.576
O -3.045 -1.210 -0.241
O -4.122 -1.453 3.493
O -1.875 -5.788 2.809
O -0.332 -4.134 4.442
F -5.239 -4.103 4.523
F -2.110 2.306 6.370
F -0.388 -1.004 0.627
F -3.517 -7.413 -1.220
F 0.359 -6.337 1.180
F -2.862 -4.045 -1.937
```

Results
Uncorrected formation energy: -2.87 eV/atom

---

[3]
Density functional theory data (meta-GGA SCAN) for MgCo3Ir at its PBEsol-relaxed geometry.

extended XYZ file:
```
5
Lattice="4.493 0.000 0.000 0.000 4.493 0.000 0.000 0.000 4.493" Properties=species:S:1:pos:R:3 pbc="T T T"
Mg 2.246 2.246 2.246
Ir 0.000 0.000 0.000
Co 0.000 2.246 0.000
Co 0.000 0.000 2.246
Co 2.246 0.000 0.000
```

Results
ΔE_f: 0.980 eV/atom

---

[4]
Density functional theory data (meta-GGA SCAN) for Hg2PtBr at its PBEsol-relaxed geometry.

extended XYZ file:
```
4
Lattice="3.896 0.000 0.000 0.000 3.896 0.000 -1.948 -1.948 5.728" Properties=species:S:1:pos:R:3 pbc="T T T"
Br 0.000 1.948 2.864
Hg 0.000 0.000 0.000
Hg 1.948 0.000 2.864
Pt 1.948 1.948 0.000
```

Results
Uncorrected formation energy: 0.38 eV/atom
E above lowest polymorph: 0.3422 eV/atom

---

[5]
Density functional theory data (meta-GGA SCAN) for FeReTe2 at its PBEsol-relaxed geometry.

extended XYZ file:
```
4
Lattice="-1.554 0.457 2.699 2.682 -1.643 0.144 4.325 7.172 1.276" Properties=species:S:1:pos:R:3 pbc="T T T"
Fe 2.726 2.993 2.060
Re 0.564 -0.593 1.422
Te 1.103 1.830 0.326
Te 3.221 5.343 0.950
```

Results
Uncorrected formation energy: 1.04 eV/atom
E above lowest polymorph: 0.7172 eV/atom

---

[6]
Density functional theory data (meta-GGA SCAN) for Sr2LiZn at its PBEsol-relaxed geometry.

extended XYZ file:
```
4
Lattice="3.844 0.000 0.000 0.000 5.549 0.000 -1.922 -2.774 5.930" Properties=species:S:1:pos:R:3 pbc="T T T"
Sr 1.922 2.774 5.876
Sr 1.922 0.000 3.462
Zn 1.922 2.774 0.256
Li 0.000 2.774 2.266
```

Results
ΔE_f: -0.044 eV/atom

---

[7]
Density functional theory data (meta-GGA SCAN) for HfTcAs2Se at its PBEsol-relaxed geometry.

extended XYZ file:
```
5
Lattice="-3.816 2.873 -1.403 -1.061 -3.239 -3.746 -3.074 -2.572 3.095" Properties=species:S:1:pos:R:3 pbc="T T T"
As -1.537 -1.286 1.548
As -0.531 -1.620 -1.873
Hf 0.000 0.000 0.000
Tc -3.976 -1.469 -1.027
Se -1.908 1.436 -0.701
```

Results
Uncorrected formation energy: 0.63 eV/atom

---

[8]
Density functional theory data (meta-GGA SCAN) for La2FeSb at its PBEsol-relaxed geometry.

extended XYZ file:
```
4
Lattice="4.265 0.000 0.000 2.132 3.694 0.000 2.132 1.231 7.260" Properties=species:S:1:pos:R:3 pbc="T T T"
Fe 0.000 0.000 0.000
La 2.132 1.231 1.620
La 6.397 3.694 5.640
Sb 4.265 2.462 3.630
```

Results
Uncorrected formation energy: -0.23 eV/atom

---

[9]
Density functional theory data (meta-GGA SCAN) for SrTl3I at its PBEsol-relaxed geometry.

extended XYZ file:
```
5
Lattice="-0.339 3.390 -5.215 -2.920 -4.698 -2.864 -5.492 2.289 1.845" Properties=species:S:1:pos:R:3 pbc="T T T"
I -4.375 0.491 -3.117
Sr 0.000 0.000 0.000
Tl -1.460 -2.349 -1.432
Tl -2.746 1.145 0.922
Tl -0.169 1.695 -2.607
```

Results
Uncorrected formation energy: 0.33 eV/atom

---

[10]
Density functional theory data (meta-GGA SCAN) for HfTc2Ir at its PBEsol-relaxed geometry.

extended XYZ file:
```
4
Lattice="4.429 0.000 0.000 2.215 3.836 0.000 2.215 1.279 3.617" Properties=species:S:1:pos:R:3 pbc="T T T"
Ir 4.429 2.557 1.808
Hf 0.000 0.000 0.000
Tc 2.215 1.279 0.904
Tc 6.644 3.836 2.712
```

Results
ΔE_f: -0.108 eV/atom

---

[11]
Density functional theory data (meta-GGA SCAN) for BaAl2Ir at its PBEsol-relaxed geometry.

extended XYZ file:
```
4
Lattice="4.365 0.000 0.000 2.183 3.780 0.000 2.183 1.260 5.931" Properties=species:S:1:pos:R:3 pbc="T T T"
Ir 6.548 3.780 5.731
Ba 4.365 2.520 3.006
Al 2.183 1.260 5.573
Al 2.183 1.260 0.402
```

Results
ΔE_f: -0.663 eV/atom

---

[12]
Density functional theory data (meta-GGA SCAN) for MgAsIr2 at its PBEsol-relaxed geometry.

extended XYZ file:
```
4
Lattice="3.445 0.000 0.000 0.000 4.088 0.000 0.000 0.000 4.088" Properties=species:S:1:pos:R:3 pbc="T T T"
As 1.722 0.000 0.000
Ir 0.000 0.000 2.044
Ir 0.000 2.044 0.000
Mg 1.722 2.044 2.044
```

Results
E above lowest polymorph: 0.0000 eV/atom
ΔE_f: -0.284 eV/atom

---

[13]
Density functional theory data (meta-GGA SCAN) for ReTcIr at its PBEsol-relaxed geometry.

extended XYZ file:
```
3
Lattice="3.251 0.000 0.000 0.000 3.251 0.000 -1.626 -1.626 4.123" Properties=species:S:1:pos:R:3 pbc="T T T"
Ir 0.000 0.000 0.012
Re 1.626 1.626 1.392
Tc 0.000 0.000 2.719
```

Results
ΔE_f: 0.260 eV/atom

---

[14]
Density functional theory data (meta-GGA SCAN) for ZrPt2C at its PBEsol-relaxed geometry.

extended XYZ file:
```
8
Lattice="5.396 0.000 0.000 0.000 5.396 0.000 -2.698 -2.698 4.888" Properties=species:S:1:pos:R:3 pbc="T T T"
C 2.698 0.000 2.444
C 2.698 2.698 0.000
Zr 0.000 2.698 2.444
Zr 0.000 0.000 0.000
Pt 3.500 1.349 1.222
Pt 1.896 4.047 1.222
Pt 1.349 0.802 3.666
Pt -1.349 -0.802 3.666
```

Results
ΔE_f: -0.133 eV/atom

---

[15]
Density functional theory data (meta-GGA SCAN) for CSe2F at its PBEsol-relaxed geometry.

extended XYZ file:
```
4
Lattice="-3.023 -1.859 2.187 0.933 -2.100 3.478 -1.120 1.520 3.717" Properties=species:S:1:pos:R:3 pbc="T T T"
C 0.000 0.000 0.000
Se -0.802 -0.610 2.345
Se -2.407 -1.829 7.036
F -1.605 -1.220 4.691
```

Results
Uncorrected formation energy: 1.24 eV/atom

---

[16]
Density functional theory data (meta-GGA SCAN) for ZrBeSb2 at its PBEsol-relaxed geometry.

extended XYZ file:
```
4
Lattice="-1.781 -1.887 -1.740 2.564 -1.412 -1.094 -0.351 -5.727 6.570" Properties=species:S:1:pos:R:3 pbc="T T T"
Sb -0.321 -5.241 6.012
Sb 0.289 -3.317 0.496
Zr -0.194 -3.167 3.633
Be 0.132 -5.892 3.449
```

Results
Uncorrected formation energy: -0.05 eV/atom

---

[17]
Density functional theory data (meta-GGA SCAN) for LaAlSb2 at its PBEsol-relaxed geometry.

extended XYZ file:
```
4
Lattice="-2.451 1.962 3.118 -2.474 -3.654 0.354 5.683 -0.995 1.954" Properties=species:S:1:pos:R:3 pbc="T T T"
Sb 0.000 -0.001 0.000
Sb 0.384 0.057 3.405
Al 3.223 -1.835 3.688
La 0.372 -2.750 2.022
```

Results
Uncorrected formation energy: -0.53 eV/atom

---

[18]
Density functional theory data (meta-GGA SCAN) for CsInRu3 at its PBEsol-relaxed geometry.

extended XYZ file:
```
5
Lattice="-0.936 0.187 -4.712 2.723 -3.900 -0.696 -3.849 -2.805 0.653" Properties=species:S:1:pos:R:3 pbc="T T T"
Cs 0.000 0.000 0.000
Ru 1.362 -1.950 -0.348
Ru -1.925 -1.402 0.327
Ru -0.468 0.094 -2.356
In -1.031 -3.259 -2.377
```

Results
ΔE_f: 2.781 eV/atom

---

[19]
Density functional theory data (meta-GGA SCAN) for Ti2Zn3O7 at its PBEsol-relaxed geometry.

extended XYZ file:
```
24
Lattice="-1.704 3.810 3.121 -2.037 -3.523 3.189 8.793 1.452 3.028" Properties=species:S:1:pos:R:3 pbc="T T T"
Ti 0.697 -0.048 2.482
Ti 4.407 1.670 6.761
Ti -1.176 0.091 5.641
Ti 6.280 1.532 3.601
Zn -1.999 -1.568 3.256
Zn -1.843 2.080 3.239
Zn 3.775 -0.388 4.290
Zn 1.441 1.758 4.746
Zn 1.172 -2.087 4.942
Zn 4.045 3.457 4.094
O 2.733 -1.229 5.793
O 2.075 3.514 3.993
O 2.471 1.697 6.429
O 2.336 0.589 3.357
O 4.352 3.587 6.069
O 0.095 -0.495 4.378
O 4.877 1.116 5.021
O -0.430 1.976 5.426
O 5.576 -1.512 5.495
O 0.091 1.875 2.716
O -1.078 -0.575 1.775
O -2.461 0.412 4.167
O 1.228 0.463 0.709
O 4.439 -0.101 7.502
```

Results
Uncorrected formation energy: -2.41 eV/atom

---

[20]
Density functional theory data (meta-GGA SCAN) for ZrTlTeCl2 at its PBEsol-relaxed geometry.

extended XYZ file:
```
5
Lattice="-4.740 -0.297 2.696 -1.704 -3.930 -3.429 2.127 -3.818 3.318" Properties=species:S:1:pos:R:3 pbc="T T T"
Tl -2.159 -4.022 1.293
Te 0.000 0.000 0.000
Zr -2.370 -0.148 1.348
Cl 1.063 -1.909 1.659
Cl -0.852 -1.965 -1.714
```

Results
Uncorrected formation energy: 0.11 eV/atom

---

| no. | DOS at the Fermi energy (states/eV/atom) | E (eV/cell) |
| --- | --- | --- |
| 1 | 0.800 | -202.61 |
| 2 | 0.000 | -433.03 |
| 3 | 0.890 | -123.09 |
| 4 | 0.426 | -224.48 |
| 5 | 0.841 | -159.57 |
| 6 | 0.881 | -60.63 |
| 7 | 0.559 | -155.02 |
| 8 | 0.545 | -142.52 |
| 9 | 1.550 | -274.45 |
| 10 | 0.880 | -204.32 |
| 11 | 0.511 | -128.81 |
| 12 | 0.281 | -168.50 |
| 13 | 1.232 | -176.48 |
| 14 | 0.123 | -363.44 |
| 15 | 0.528 | -48.83 |
| 16 | 0.526 | -109.76 |
| 17 | 0.494 | -127.49 |
| 18 | 1.015 | -161.77 |
| 19 | 0.000 | -290.32 |
| 20 | 0.470 | -155.71 |